(1)
SmTiZn2 | PBE-GGA | relaxed

Lattice parameters (Å, degrees): 3.425 4.830 4.830 90.00 90.00 90.00
Last column: magnetic moment on the atom in μB.
Sites, in units of the cell vectors:
Zn (0.000, 0.000, 0.500)  -0.01
Sm (0.500, 0.000, 0.000)  0.04
Ti (0.500, 0.500, 0.500)  0.82
Zn (0.000, 0.500, 0.000)  -0.01

Properties
**Excess energy over the best structure of this formula in the dataset**: 0.1141 eV per atom
**E_tot**: -15.4 eV/f.u.
**E_form**: -0.07 eV per atom
**Space group**: P4/mmm

=====

(2)
Sc5TiC4 | PBE-GGA | relaxed

Lattice parameters (Å, degrees): 3.274 6.571 7.318 102.57 102.92 90.00
Last column: magnetic moment on the atom in μB.
Sites, in units of the cell vectors:
Ti (0.500, 0.000, 0.000)  0.04
C (0.336, 0.914, 0.672)  0.00
Sc (0.834, 0.146, 0.668)  0.07
C (0.998, 0.246, 0.997)  0.01
C (0.664, 0.086, 0.328)  0.00
Sc (0.843, 0.691, 0.685)  0.09
Sc (0.166, 0.854, 0.332)  0.07
Sc (0.157, 0.309, 0.315)  0.09
Sc (0.500, 0.500, 0.000)  0.12
C (0.002, 0.754, 0.003)  0.01

Properties
**E_tot**: -81.3 eV/f.u.
**E_form**: -0.48 eV per atom
**Space group**: C2/m

=====

(3)
K2BRhO4 | PBE-GGA | relaxed

Lattice parameters (Å, degrees): 5.097 6.118 10.000 83.91 75.24 65.38
Sites, in units of the cell vectors:
O (0.950, 0.649, 0.582)
K (0.575, 0.500, 0.851)
O (0.800, 0.851, 0.918)
O (0.402, 0.649, 0.418)
K (0.825, 0.000, 0.351)
K (0.925, 0.500, 0.149)
O (0.282, 0.149, 0.918)
Rh (0.000, 0.000, 0.000)
O (0.468, 0.351, 0.582)
Rh (0.750, 0.500, 0.500)
O (0.348, 0.851, 0.082)
B (0.500, 0.000, 0.000)
B (0.250, 0.500, 0.500)
O (0.570, 0.149, 0.082)
O (0.180, 0.351, 0.418)
K (0.175, 0.000, 0.649)

Properties
**E_tot**: -47.7 eV/f.u.
**ΔE_f (raw)**: -1.456 eV per atom
**Space group**: Fddd

=====

(4)
AlGaSb | PBE-GGA | relaxed

Lattice parameters (Å, degrees): 10.406 4.255 7.340 90.00 103.45 90.00
Sites, in units of the cell vectors:
Sb (0.751, 0.500, 0.417)
Ga (0.930, 0.500, 0.144)
Sb (0.751, 0.000, 0.917)
Ga (0.070, 0.000, 0.356)
Al (0.628, 0.500, 0.042)
Al (0.372, 0.000, 0.458)
Ga (0.070, 0.500, 0.856)
Ga (0.930, 0.000, 0.644)
Sb (0.249, 0.500, 0.583)
Al (0.372, 0.500, 0.958)
Al (0.628, 0.000, 0.542)
Sb (0.249, 0.000, 0.083)

Properties
**Excess energy over the best structure of this formula in the dataset**: 0.0506 eV per atom
**E_tot**: -10.7 eV/f.u.
**ΔE_f (raw)**: 0.059 eV per atom
**Space group**: C2/m

=====

(5)
Ac4CdSn | PBE-GGA | relaxed

Lattice parameters (Å, degrees): 5.613 5.613 7.976 89.98 89.99 90.00
Sites, in units of the cell vectors:
Cd (0.001, 0.997, 0.498)
Sn (0.501, 0.497, 0.998)
Ac (0.001, 0.497, 0.253)
Ac (0.501, 0.997, 0.253)
Ac (0.501, 0.998, 0.743)
Ac (0.001, 0.497, 0.743)

Properties
**E_tot**: -22.4 eV/f.u.
**E_form**: -0.17 eV per atom
**Space group**: P4/mmm

=====

(6)
VRuPtW | PBE-GGA | relaxed

Lattice parameters (Å, degrees): 3.949 3.837 3.863 90.00 90.00 90.00
Sites, in units of the cell vectors:
Ru (0.000, 0.000, 0.000)
W (0.000, 0.500, 0.500)
Pt (0.500, 0.500, 0.000)
V (0.500, 0.000, 0.500)

Properties
**E_tot**: -38.5 eV/f.u.
**E_form**: -0.27 eV per atom
**Space group**: Pmmm

=====

(7)
Cu2AsIrSe | PBE-GGA | relaxed

Lattice parameters (Å, degrees): 4.824 4.530 4.824 90.00 90.00 90.00
Sites, in units of the cell vectors:
Cu (0.000, 0.000, 0.500)
Cu (0.500, 0.000, 0.000)
Se (0.500, 0.500, 0.500)
Ir (0.000, 0.000, 0.000)
As (0.000, 0.500, 0.000)

Properties
**E_tot**: -21.8 eV/f.u.
**ΔE_f (raw)**: 0.672 eV per atom
**Space group**: P4/mmm

=====

(8)
Dy5Ho8Tm | PBE-GGA | relaxed

Lattice parameters (Å, degrees): 8.360 8.359 8.360 110.84 106.77 110.84
Sites, in units of the cell vectors:
Dy (0.865, 0.899, 0.187)
Dy (0.034, 0.322, 0.135)
Dy (0.288, 0.101, 0.966)
Ho (0.523, 0.605, 0.269)
Ho (0.574, 0.914, 0.836)
Dy (0.813, 0.678, 0.712)
Tm (0.250, 0.500, 0.750)
Ho (0.664, 0.395, 0.918)
Dy (0.500, 0.000, 0.500)
Ho (0.341, 0.263, 0.426)
Ho (0.082, 0.746, 0.477)
Ho (0.164, 0.737, 0.078)
Ho (0.731, 0.254, 0.336)
Ho (0.922, 0.086, 0.659)

Properties
**E_tot**: -60.5 eV/f.u.
**E_form**: 0.26 eV per atom
**Space group**: I-4

=====

(9)
NaBiPdRh | PBE-GGA | relaxed

Lattice parameters (Å, degrees): 4.702 4.702 4.702 60.00 60.00 60.00
Sites, in units of the cell vectors:
Na (0.500, 0.500, 0.500)
Rh (0.250, 0.250, 0.250)
Pd (0.750, 0.750, 0.750)
Bi (0.000, 0.000, 0.000)

Properties
**E_tot**: -18.1 eV/f.u.
**E_form**: -0.09 eV per atom
**Space group**: F-43m

=====

(10)
ScHS2 | PBE-GGA | relaxed

Lattice parameters (Å, degrees): 3.821 6.726 6.734 108.56 90.00 90.00
Sites, in units of the cell vectors:
S (0.250, 0.357, 0.302)
Sc (0.250, 0.776, 0.491)
Sc (0.750, 0.224, 0.509)
S (0.250, 0.151, 0.722)
S (0.750, 0.643, 0.698)
H (0.750, 0.721, 0.913)
S (0.750, 0.849, 0.278)
H (0.250, 0.279, 0.087)

Properties
**Excess energy over the best structure of this formula in the dataset**: 0.0000 eV per atom
**E_tot**: -22.8 eV/f.u.
**Space group**: P2_1/m

=====

(11)
Li2TaHg | PBE-GGA | relaxed

Lattice parameters (Å, degrees): 4.460 3.979 3.979 90.00 90.00 90.00
Sites, in units of the cell vectors:
Li (0.000, 0.000, 0.000)
Hg (0.500, 0.000, 0.500)
Ta (0.500, 0.500, 0.000)
Li (0.000, 0.500, 0.500)

Properties
**E_tot**: -14.3 eV/f.u.
**E_form**: 0.41 eV per atom
**Space group**: P4/mmm

=====

(12)
Er6Sb3Ir | PBE-GGA | relaxed

Lattice parameters (Å, degrees): 7.094 9.259 9.259 109.66 90.00 90.00
Sites, in units of the cell vectors:
Er (0.229, 0.756, 0.244)
Er (0.603, 0.642, 0.764)
Ir (0.046, 0.148, 0.852)
Er (0.221, 0.106, 0.571)
Er (0.221, 0.429, 0.894)
Er (0.103, 0.358, 0.236)
Sb (0.490, 0.289, 0.069)
Sb (0.990, 0.069, 0.289)
Er (0.721, 0.571, 0.106)
Er (0.721, 0.894, 0.429)
Er (0.729, 0.244, 0.756)
Er (0.103, 0.764, 0.642)
Er (0.786, 0.016, 0.984)
Ir (0.546, 0.852, 0.148)
Sb (0.490, 0.931, 0.711)
Sb (0.990, 0.711, 0.931)
Sb (0.296, 0.437, 0.563)
Er (0.603, 0.236, 0.358)
Er (0.286, 0.984, 0.016)
Sb (0.796, 0.563, 0.437)

Properties
**E_tot**: -55.1 eV/f.u.
**ΔE_f (raw)**: -0.654 eV per atom
**Space group**: Cmc2_1

=====

- Number 3 is which compound?
  K2BRhO4

=====

- E_tot of number 11 (Li2TaHg)?
  -14.3 eV/f.u.

=====

Copy entry 8 word for word.
Dy5Ho8Tm | PBE-GGA | relaxed

Lattice parameters (Å, degrees): 8.360 8.359 8.360 110.84 106.77 110.84
Sites, in units of the cell vectors:
Dy (0.865, 0.899, 0.187)
Dy (0.034, 0.322, 0.135)
Dy (0.288, 0.101, 0.966)
Ho (0.523, 0.605, 0.269)
Ho (0.574, 0.914, 0.836)
Dy (0.813, 0.678, 0.712)
Tm (0.250, 0.500, 0.750)
Ho (0.664, 0.395, 0.918)
Dy (0.500, 0.000, 0.500)
Ho (0.341, 0.263, 0.426)
Ho (0.082, 0.746, 0.477)
Ho (0.164, 0.737, 0.078)
Ho (0.731, 0.254, 0.336)
Ho (0.922, 0.086, 0.659)

Properties
**E_tot**: -60.5 eV/f.u.
**E_form**: 0.26 eV per atom
**Space group**: I-4

=====

- The highest E_tot belongs to which entry?
  AlGaSb